Entry 1:
A plane-wave DFT calculation with GGA-PBE was carried out for a relaxed structure of NaBe2Rh.

The relative energy among the computed polymorphs comes out at 3.61 kcal/mol of atoms. Its formation energy is 354 meV per atom. The calculation puts the calculated volume at 289.0 Å³ per cell.

The space group is I4_1/amd (No. 141, origin choice 2) and the conventional cell measures 4.4027, 4.4027 and 14.9119 Å, with angles of 90.00, 90.00 and 90.00 degrees. The distinct sites, in fractional coordinates, are Na at (0.0000, 0.2500, 0.3750), Be at (0.0000, 0.0000, 0.0000) and Rh at (0.0000, 0.2500, 0.8750).

---

Entry 2:
A plane-wave DFT calculation with GGA-PBE was carried out for a relaxed structure of Mg2CdPd8.

The relative energy among the computed polymorphs comes out at 0.00 kcal/mol of atoms. Its formation energy is -421 meV per atom. The calculation puts the calculated volume at 351.1 Å³ per cell.

The space group is C2/m (No. 12) and the conventional cell measures 14.2213, 4.0667 and 6.3279 Å, with angles of 90.00, 106.38 and 90.00 degrees. The distinct sites, in fractional coordinates, are Mg at (0.2237, 0.0000, 0.1525), Cd at (0.0000, 0.5000, 0.5000), Pd at (0.0435, 0.0000, 0.2235), Pd at (0.0961, 0.5000, 0.9617), Pd at (0.1429, 0.0000, 0.6939) and Pd at (0.1808, 0.5000, 0.4111).

---

Entry 3:
A plane-wave DFT calculation with GGA-PBE was carried out for a relaxed structure of SbMoBr2.

The relative energy among the computed polymorphs comes out at 5.66 kcal/mol of atoms. The calculation puts the calculated volume at 132.4 Å³ per cell.

The space group is P4mm (No. 99) and the conventional cell measures 3.9710, 3.9710 and 8.3956 Å, with angles of 90.00, 90.00 and 90.00 degrees. The distinct sites, in fractional coordinates, are Sb at (0.0000, 0.0000, 0.0000), Mo at (0.5000, 0.5000, 0.0349), Br at (0.0000, 0.0000, 0.6924) and Br at (0.5000, 0.5000, 0.3235).

---

Entry 4:
A plane-wave DFT calculation with GGA-PBE was carried out for a relaxed structure of YTmSc2Sb4.

The calculation puts the calculated volume at 219.5 Å³ per cell. The calculation puts the total energy at -48.26 eV/cell.

The space group is P2/m (No. 10) and the conventional cell measures 7.3832, 4.2668 and 7.3897 Å, with angles of 90.00, 109.48 and 90.00 degrees. The distinct sites, in fractional coordinates, are Y at (0.0000, 0.0000, 0.0000), Tm at (0.0000, 0.5000, 0.5000), Sc at (0.5000, 0.0000, 0.5000), Sc at (0.5000, 0.5000, 0.0000), Sb at (0.2628, 0.0000, 0.7524) and Sb at (0.2642, 0.5000, 0.2565).

---

Entry 5:
A plane-wave DFT calculation with GGA-PBE was carried out for a relaxed structure of PrDy5Er3.

The relative energy among the computed polymorphs comes out at 1.97 kcal/mol of atoms. Its formation energy is 424 meV per atom. The calculation puts the calculated volume at 1240.7 Å³ per cell.

The space group is C2/m (No. 12) and the conventional cell measures 16.8605, 7.9642 and 12.1731 Å, with angles of 90.00, 130.62 and 90.00 degrees. The distinct sites, in fractional coordinates, are Pr at (0.2369, 0.0000, 0.1336), Dy at (0.0000, 0.3210, 0.0000), Dy at (0.0639, 0.2069, 0.7795), Dy at (0.1238, 0.0000, 0.5671), Dy at (0.2008, 0.5000, 0.0715), Er at (0.0000, 0.0000, 0.0000), Er at (0.0000, 0.5000, 0.5000), Er at (0.1211, 0.5000, 0.3177) and Er at (0.1689, 0.0000, 0.3389).

---

Entry 6:
A plane-wave DFT calculation with GGA-PBE was carried out for a relaxed structure of LaCd2RhPb.

Its formation energy is -247 meV per atom. The calculation puts the calculated volume at 144.0 Å³ per cell.

The space group is P4/mmm (No. 123) and the conventional cell measures 5.2640, 5.2640 and 5.1955 Å, with angles of 90.00, 90.00 and 90.00 degrees. The distinct sites, in fractional coordinates, are La at (0.0000, 0.0000, 0.0000), Cd at (0.0000, 0.5000, 0.5000), Rh at (0.0000, 0.0000, 0.5000) and Pb at (0.5000, 0.5000, 0.0000).